# 1
# Zr3SnRh

A relaxed structure of Zr3SnRh (GGA-PBEsol, Alexandria).

- density (Mg/m³) = 6.9
- crystal system = cubic
- total magnetization (μB/f.u.) = 0.0
- E_tot (eV/atom) = -7.974

abc: 4.933 4.933 4.933
angles: 90.00 90.00 90.00
Sites, in units of the cell vectors:
Sn: 0.500 0.500 0.500
Rh: 0.000 0.000 0.000
Zr: 0.500 0.000 0.000
Zr: 0.000 0.000 0.500
Zr: 0.000 0.500 0.000

---

# 2
# Cd3PS

A relaxed structure of Cd3PS (GGA-PBEsol, Alexandria).

- density (Mg/m³) = 5.5
- crystal system = cubic
- total magnetization (μB/f.u.) = 0.0
- energy relative to the elements, uncorrected (eV/atom) = 0.5374

abc: 4.938 4.938 4.938
angles: 90.00 90.00 90.00
Sites, in units of the cell vectors:
Cd: 0.000 0.500 0.000
Cd: 0.000 0.000 0.500
P: 0.500 0.500 0.500
S: 0.000 0.000 0.000
Cd: 0.500 0.000 0.000

---

# 3
# Re3PbS6

A relaxed structure of Re3PbS6 (GGA-PBEsol, Alexandria).

- density (Mg/m³) = 7.2
- crystal system = monoclinic
- total magnetization (μB/f.u.) = 0.0
- energy relative to the elements, uncorrected (eV/atom) = -0.5280

abc: 9.303 9.303 11.671
angles: 89.93 89.93 60.55
Sites, in units of the cell vectors:
Re: 0.986 0.699 0.474
S: 0.296 0.198 0.579
S: 0.724 0.427 0.478
S: 0.393 0.936 0.225
S: 0.936 0.393 0.725
S: 0.801 0.696 0.929
Re: 0.521 0.883 0.867
S: 0.268 0.456 0.812
Re: 0.393 0.196 0.921
S: 0.237 0.083 0.834
Re: 0.883 0.521 0.367
Pb: 0.255 0.768 0.722
Re: 0.114 0.477 0.636
S: 0.011 0.048 0.579
Re: 0.604 0.801 0.084
Re: 0.010 0.299 0.531
S: 0.958 0.974 0.924
S: 0.912 0.760 0.672
Pb: 0.122 0.647 0.003
Re: 0.801 0.604 0.584
Re: 0.196 0.393 0.421
Re: 0.699 0.986 0.974
S: 0.274 0.571 0.524
S: 0.974 0.958 0.424
S: 0.760 0.912 0.172
S: 0.571 0.274 0.024
S: 0.048 0.011 0.079
S: 0.748 0.544 0.187
S: 0.427 0.724 0.978
S: 0.063 0.605 0.281
S: 0.198 0.296 0.079
Re: 0.299 0.010 0.031
Pb: 0.647 0.122 0.503
S: 0.544 0.748 0.687
S: 0.083 0.237 0.334
S: 0.456 0.268 0.312
Pb: 0.768 0.255 0.222
Re: 0.477 0.114 0.136
S: 0.696 0.801 0.429
S: 0.605 0.063 0.781

---

Copy entry 1 word for word.
# Zr3SnRh

A relaxed structure of Zr3SnRh (GGA-PBEsol, Alexandria).

- density (Mg/m³) = 6.9
- crystal system = cubic
- total magnetization (μB/f.u.) = 0.0
- E_tot (eV/atom) = -7.974

abc: 4.933 4.933 4.933
angles: 90.00 90.00 90.00
Sites, in units of the cell vectors:
Sn: 0.500 0.500 0.500
Rh: 0.000 0.000 0.000
Zr: 0.500 0.000 0.000
Zr: 0.000 0.000 0.500
Zr: 0.000 0.500 0.000

---

- Which value of density does entry 3 give?
  7.2 Mg/m³